Model 1:
A relaxed La2SiHg2 crystal. Source: the Alexandria database, functional PBE.

Cell: 8.415 8.415 4.279 Å, 90.00 90.00 90.00°
Element x y z (fractional)
La (0.171, 0.329, 0.000)
La (0.329, 0.829, 0.000)
La (0.671, 0.171, 0.000)
La (0.829, 0.671, 0.000)
Si (0.000, 0.000, 0.000)
Si (0.500, 0.500, 0.000)
Hg (0.133, 0.633, 0.500)
Hg (0.367, 0.133, 0.500)
Hg (0.633, 0.867, 0.500)
Hg (0.867, 0.367, 0.500)

size of the total moment = 0.00 μB per formula unit
Fermi-level density of states = 8.91 states/eV per cell

Model 2:
A relaxed La2SiHg2 crystal. Source: the Alexandria database, functional PBE.

Cell: 9.275 9.275 9.275 Å, 154.85 154.85 35.86°
Element x y z (fractional)
La (0.086, 0.086, 0.000)
La (0.914, 0.914, 0.000)
Si (0.500, 0.500, 0.000)
Hg (0.250, 0.750, 0.500)
Hg (0.750, 0.250, 0.500)

size of the total moment = 0.00 μB per formula unit
Fermi-level density of states = 4.38 states/eV per cell

Model 3:
A relaxed La2SiHg2 crystal. Source: the Alexandria database, functional PBE.

Cell: 7.488 7.488 4.849 Å, 90.00 90.00 90.00°
Element x y z (fractional)
La (0.172, 0.328, 0.000)
La (0.328, 0.828, 0.000)
La (0.672, 0.172, 0.000)
La (0.828, 0.672, 0.000)
Si (0.000, 0.000, 0.500)
Si (0.500, 0.500, 0.500)
Hg (0.137, 0.637, 0.500)
Hg (0.363, 0.137, 0.500)
Hg (0.637, 0.863, 0.500)
Hg (0.863, 0.363, 0.500)

size of the total moment = 0.00 μB per formula unit
Fermi-level density of states = 4.93 states/eV per cell

Question: of the structures shown, which is the most stable? Reply: model 3.